(1)
{
  "formula": "NiMo2Au",
  "functional": "PBE",
  "state": "optimized geometry",
  "cell": [[2.6760, 0.0000, 0.0000], [0.0000, 4.3424, 0.0000], [-0.6026, 0.0000, 5.2057]],
  "species": ["Ni", "Mo", "Mo", "Au"],
  "fractional_positions": [[0.0000, 0.0000, 0.0000], [0.4035, 0.5000, 0.8076], [0.6045, 0.0000, 0.5275], [0.0313, 0.5000, 0.2805]],
  "space_group": "Pm",
  "delta_e_f_ev_per_atom": 0.14,
  "e_tot_ev_per_atom": -7.537,
  "polymorph_energy_mev_per_atom": 29.1
}


(2)
{
  "formula": "Mg2Be2AgAu5",
  "functional": "PBE",
  "state": "optimized geometry",
  "cell": [[9.8864, 0.0000, 0.0000], [0.0000, 9.8864, 0.0000], [0.0000, 0.0000, 3.3853]],
  "species": ["Mg", "Mg", "Mg", "Mg", "Be", "Be", "Be", "Be", "Ag", "Ag", "Au", "Au", "Au", "Au", "Au", "Au", "Au", "Au", "Au", "Au"],
  "fractional_positions": [[0.1737, 0.3263, 0.0000], [0.3263, 0.8263, 0.0000], [0.6737, 0.1737, 0.0000], [0.8263, 0.6737, 0.0000], [0.1253, 0.6253, 0.0000], [0.3747, 0.1253, 0.0000], [0.6253, 0.8747, 0.0000], [0.8747, 0.3747, 0.0000], [0.0000, 0.0000, 0.0000], [0.5000, 0.5000, 0.0000], [0.0000, 0.5000, 0.5000], [0.0758, 0.7889, 0.5000], [0.2111, 0.0758, 0.5000], [0.2889, 0.5758, 0.5000], [0.4242, 0.2889, 0.5000], [0.5000, 0.0000, 0.5000], [0.5758, 0.7111, 0.5000], [0.7111, 0.4242, 0.5000], [0.7889, 0.9242, 0.5000], [0.9242, 0.2111, 0.5000]],
  "space_group": "P4/mbm",
  "delta_e_f_ev_per_atom": -0.28,
  "e_tot_ev_per_atom": -3.265
}


(3)
{
  "formula": "Pm4Ho5Tm3",
  "functional": "PBE",
  "state": "optimized geometry",
  "cell": [[8.0217, -2.9437, 0.0000], [8.0217, 2.9437, 0.0000], [-4.1948, 0.0000, 8.3290]],
  "species": ["Pm", "Pm", "Pm", "Pm", "Ho", "Ho", "Ho", "Ho", "Ho", "Tm", "Tm", "Tm"],
  "fractional_positions": [[0.0839, 0.0839, 0.4461], [0.2164, 0.2164, 0.8816], [0.7836, 0.7836, 0.1184], [0.9161, 0.9161, 0.5539], [0.0000, 0.0000, 0.0000], [0.3288, 0.3288, 0.6170], [0.4291, 0.4291, 0.2967], [0.5709, 0.5709, 0.7033], [0.6712, 0.6712, 0.3830], [0.2124, 0.2124, 0.2363], [0.5000, 0.5000, 0.0000], [0.7876, 0.7876, 0.7637]],
  "space_group": "C2/m",
  "delta_e_f_ev_per_atom": 0.23,
  "e_tot_ev_per_atom": -4.375
}


(4)
{
  "formula": "BaHg2Br",
  "functional": "PBE",
  "state": "optimized geometry",
  "cell": [[0.0000, 4.0272, 4.0272], [4.0272, 0.0000, 4.0272], [4.0272, 4.0272, 0.0000]],
  "species": ["Ba", "Hg", "Hg", "Br"],
  "fractional_positions": [[0.0000, 0.0000, 0.0000], [0.5000, 0.5000, 0.5000], [0.7500, 0.7500, 0.7500], [0.2500, 0.2500, 0.2500]],
  "space_group": "F-43m",
  "e_tot_ev_per_atom": -1.843,
  "formation_energy_uncorrected_kj_per_mol_atoms": -76.6,
  "polymorph_energy_mev_per_atom": 103.6
}


(5)
{
  "formula": "KLi2Cu",
  "functional": "PBE",
  "state": "optimized geometry",
  "cell": [[3.1167, -4.8772, 0.0000], [3.1167, 4.8772, 0.0000], [0.0000, 0.0000, 3.1049]],
  "species": ["K", "Li", "Li", "Cu"],
  "fractional_positions": [[0.0000, 0.0000, 0.0000], [0.0000, 0.5000, 0.5000], [0.5000, 0.0000, 0.5000], [0.5000, 0.5000, 0.0000]],
  "space_group": "Cmmm",
  "delta_e_f_ev_per_atom": 0.42,
  "e_tot_ev_per_atom": -1.840,
  "polymorph_energy_mev_per_atom": 248.8
}


(6)
{
  "formula": "BeZnSb2I",
  "functional": "PBE",
  "state": "optimized geometry",
  "cell": [[4.8548, 0.0000, 0.0000], [0.0000, 4.8548, 0.0000], [0.0000, 0.0000, 5.6878]],
  "species": ["Be", "Zn", "Sb", "Sb", "I"],
  "fractional_positions": [[0.0000, 0.0000, 0.0000], [0.5000, 0.5000, 0.5000], [0.0000, 0.5000, 0.0000], [0.5000, 0.0000, 0.0000], [0.0000, 0.0000, 0.5000]],
  "space_group": "P4/mmm",
  "e_tot_ev_per_atom": -2.398,
  "formation_energy_uncorrected_kj_per_mol_atoms": 54.1,
  "polymorph_energy_mev_per_atom": 0.0
}